(1)
An optimized crystal structure of BaIn2Sb2. Source: Alexandria, functional PBE-GGA.

Calculated values
Raw formation energy in eV/atom: -0.426

abc: 5.625 5.625 10.402
angles: 90.00 90.00 90.00
Element x y z (fractional)
Ba: 0.000 0.000 0.000
Ba: 0.500 0.500 0.500
In: 0.000 0.000 0.362
In: 0.000 0.000 0.638
In: 0.500 0.500 0.138
In: 0.500 0.500 0.862
Sb: 0.000 0.500 0.250
Sb: 0.000 0.500 0.750
Sb: 0.500 0.000 0.250
Sb: 0.500 0.000 0.750

(2)
An optimized crystal structure of HfAl2Tc2. Source: Alexandria, functional PBE-GGA.

Calculated values
Formation energy from the elements in meV per atom: 6

abc: 4.083 4.083 10.519
angles: 90.00 90.00 90.00
Element x y z (fractional)
Hf: 0.000 0.000 0.000
Hf: 0.500 0.500 0.500
Al: 0.000 0.500 0.250
Al: 0.000 0.500 0.750
Al: 0.500 0.000 0.250
Al: 0.500 0.000 0.750
Tc: 0.000 0.000 0.392
Tc: 0.000 0.000 0.608
Tc: 0.500 0.500 0.108
Tc: 0.500 0.500 0.892

(3)
An optimized crystal structure of KVCd. Source: Alexandria, functional PBE-GGA.

Calculated values
Formation energy from the elements in meV per atom: 866

abc: 5.509 5.509 6.216
angles: 90.00 90.00 120.00
Element x y z (fractional)
K: 0.000 0.000 0.000
K: 0.000 0.000 0.500
V: 0.333 0.667 0.250
V: 0.667 0.333 0.750
Cd: 0.333 0.667 0.750
Cd: 0.667 0.333 0.250

In the order shown, the computed DOS(E_F) values come out to 0.359; 0.235; 1.976 states/eV per atom.